[1]
The following is a PBEsol calculation of MgTeMo2 after structural relaxation, from Alexandria.

Summary:
**Uncorrected energy**: -53.50 eV for the cell shown
**Mass density**: 8.2 Mg/m³
**Offset from the most stable computed form**: 160 meV/atom
**Formation energy without anion corrections**: 506.8 meV per atom

```
data_MgTeMo2
_cell_length_a 3.892
_cell_length_b 3.892
_cell_length_c 9.195
_cell_angle_alpha 90.00
_cell_angle_beta 90.00
_cell_angle_gamma 90.00
_space_group_name_H-M_alt 'I 4/m m m'
_space_group_IT_number 139
_space_group_name_Hall '-I 4 2'
loop_
_atom_site_label
_atom_site_type_symbol
_atom_site_fract_x
_atom_site_fract_y
_atom_site_fract_z
Mg1 Mg 0.000 0.000 0.000
Te1 Te 0.000 0.000 0.500
Mo1 Mo 0.000 0.500 0.250
```

---

[2]
The following is a PBEsol calculation of MgTeMo2 after structural relaxation, from Alexandria.

Summary:
**Uncorrected energy**: -54.78 eV for the cell shown
**Mass density**: 8.2 Mg/m³
**Offset from the most stable computed form**: 0 meV/atom
**Formation energy without anion corrections**: 346.7 meV per atom

```
data_MgTeMo2
_cell_length_a 3.547
_cell_length_b 4.536
_cell_length_c 8.639
_cell_angle_alpha 90.00
_cell_angle_beta 90.00
_cell_angle_gamma 90.00
_space_group_name_H-M_alt 'I m m 2'
_space_group_IT_number 44
_space_group_name_Hall 'I 2 -2'
loop_
_atom_site_label
_atom_site_type_symbol
_atom_site_fract_x
_atom_site_fract_y
_atom_site_fract_z
Mg1 Mg 0.000 0.000 0.000
Te1 Te 0.000 0.500 0.233
Mo1 Mo 0.000 0.000 0.479
Mo2 Mo 0.000 0.500 0.760
```

---

| no. | magnetization (μB/atom) |
| --- | --- |
| 1 | 0.0001 |
| 2 | 0.0000 |